# 1
4
Lattice="-2.0479 2.0479 3.6553 2.0479 -2.0479 3.6553 2.0479 2.0479 -3.6553" Properties=species:S:1:pos:R:3 comment="NiTeIr2 (PBE, optimized geometry)" magnetic_moment_mub_per_cell=0.208 polymorph_energy_ev_per_fu=0.00 pbc="T T T"
Ni 0.0000 0.0000 0.0000
Te 0.0000 0.0000 3.6553
Ir 2.0479 0.0000 1.8277
Ir 0.0000 2.0479 1.8277



# 2
4
Lattice="0.0000 3.1588 3.1588 3.1588 0.0000 3.1588 3.1588 3.1588 0.0000" Properties=species:S:1:pos:R:3 comment="NiTeIr2 (PBE, optimized geometry)" magnetic_moment_mub_per_cell=0.000 polymorph_energy_ev_per_fu=0.62 pbc="T T T"
Ni 0.0000 0.0000 0.0000
Te 4.7382 4.7382 4.7382
Ir 1.5794 1.5794 1.5794
Ir 3.1588 3.1588 3.1588



# 3
5
Lattice="4.5372 0.0000 0.0000 0.0000 4.5372 0.0000 0.0000 0.0000 4.5372" Properties=species:S:1:pos:R:3 comment="NiTeIr3 (PBE, optimized geometry)" magnetic_moment_mub_per_cell=2.861 final_energy_ev_per_atom=-5.7197 pbc="T T T"
Ni 0.0000 0.0000 0.0000
Te 2.2686 2.2686 2.2686
Ir 0.0000 0.0000 2.2686
Ir 0.0000 2.2686 0.0000
Ir 2.2686 0.0000 0.0000



# 4
4
Lattice="3.0906 0.0000 0.0000 0.0000 3.5165 0.0000 0.0000 0.0000 5.7393" Properties=species:S:1:pos:R:3 comment="NiTeIr2 (PBE, optimized geometry)" magnetic_moment_mub_per_cell=0.001 polymorph_energy_ev_per_fu=0.18 pbc="T T T"
Ni 0.0000 0.0000 0.0000
Te 0.0000 0.0000 2.8696
Ir 1.5453 1.7582 1.3003
Ir 1.5453 1.7582 4.4389



# 5
4
Lattice="3.3905 0.0000 0.0000 0.0000 3.3905 0.0000 0.0000 0.0000 5.5351" Properties=species:S:1:pos:R:3 comment="NiTeIr2 (PBE, optimized geometry)" magnetic_moment_mub_per_cell=0.001 polymorph_energy_ev_per_fu=0.45 pbc="T T T"
Ni 0.0000 0.0000 0.0000
Te 1.6952 1.6952 1.4947
Ir 0.0000 0.0000 3.0010
Ir 1.6952 1.6952 4.3941



# 6
8
Lattice="-1.9286 1.9286 9.0081 1.9286 -1.9286 9.0081 1.9286 1.9286 -9.0081" Properties=species:S:1:pos:R:3 comment="NiTeIr2 (PBE, optimized geometry)" magnetic_moment_mub_per_cell=0.000 polymorph_energy_ev_per_fu=0.34 pbc="T T T"
Ni 0.0000 0.0000 0.0000
Ni 0.0000 1.9286 4.5040
Te 1.9286 0.0000 4.5040
Te 0.0000 0.0000 9.0081
Ir 2.8929 0.8589 -2.2520
Ir 0.8589 0.9643 2.2520
Ir -0.9643 1.0697 6.7561
Ir 1.0697 0.9643 11.2601



# 7
10
Lattice="6.0550 -3.1656 0.0000 6.0550 3.1656 0.0000 -2.1661 0.0000 4.6471" Properties=species:S:1:pos:R:3 comment="NiTe2Ir2 (PBE, optimized geometry)" magnetic_moment_mub_per_cell=0.000 final_energy_ev_per_atom=-5.9155 pbc="T T T"
Ni 4.4304 3.1612 3.4853
Ni 5.5135 -3.1612 1.1618
Te 3.4723 1.7176 1.6212
Te 7.5546 1.7176 0.7023
Te 2.3893 -1.7176 3.9447
Te 6.4716 -1.7176 3.0259
Ir 2.8040 0.8189 4.1417
Ir 6.0569 0.8189 2.8289
Ir 3.8871 -0.8189 1.8182
Ir 7.1399 -0.8189 0.5054



# 8
4
Lattice="2.7223 -4.7004 0.0000 2.7223 4.7004 0.0000 -1.5625 0.0000 2.4871" Properties=species:S:1:pos:R:3 comment="NiTeIr2 (PBE, optimized geometry)" magnetic_moment_mub_per_cell=0.000 polymorph_energy_ev_per_fu=0.42 pbc="T T T"
Ni 0.0000 0.0000 0.0000
Te 2.7223 0.0000 0.0000
Ir 1.3611 2.3502 0.0000
Ir 1.3611 -2.3502 0.0000



# 9
8
Lattice="3.2699 1.8879 5.3782 -3.2699 1.8879 5.3782 0.0000 -3.7758 5.3782" Properties=species:S:1:pos:R:3 comment="NiTe6Ir (PBE, optimized geometry)" magnetic_moment_mub_per_cell=0.000 polymorph_energy_ev_per_fu=0.00 pbc="T T T"
Ni 0.0000 0.0000 0.0000
Te -2.2863 -0.1465 6.6961
Te -1.0163 -2.0532 9.4386
Te 1.2700 -1.9067 6.6961
Te -1.2700 1.9067 9.4386
Te 1.0163 2.0532 6.6961
Te 2.2863 0.1465 9.4386
Ir 0.0000 0.0000 8.0673



# 10
3
Lattice="-1.7670 1.7670 3.8689 1.7670 -1.7670 3.8689 1.7670 1.7670 -3.8689" Properties=species:S:1:pos:R:3 comment="NiTeIr (PBE, optimized geometry)" magnetic_moment_mub_per_cell=0.000 final_energy_ev_per_atom=-5.6729 pbc="T T T"
Ni 0.0000 0.0000 0.0000
Te 0.0000 0.0000 5.2991
Ir 0.0000 0.0000 2.6851



# 11
6
Lattice="0.0000 3.4112 3.4112 3.4112 0.0000 3.4112 3.4112 3.4112 0.0000" Properties=species:S:1:pos:R:3 comment="Ni4TeIr (PBE, optimized geometry)" magnetic_moment_mub_per_cell=1.352 final_energy_ev_per_atom=-5.6027 pbc="T T T"
Ni 2.5658 2.5658 2.5658
Ni 4.2565 4.2565 2.5658
Ni 4.2565 2.5658 4.2565
Ni 2.5658 4.2565 4.2565
Te 0.0000 0.0000 0.0000
Ir 5.1168 5.1168 5.1168



# 12
16
Lattice="6.7544 -4.7787 0.0000 6.7544 4.7787 0.0000 -6.7237 0.0000 6.8380" Properties=species:S:1:pos:R:3 comment="NiTe6Ir (PBE, optimized geometry)" magnetic_moment_mub_per_cell=0.000 polymorph_energy_ev_per_fu=0.59 pbc="T T T"
Ni 3.3772 2.3894 0.0000
Ni 3.3772 -2.3894 0.0000
Te 4.5403 3.3013 2.2060
Te 2.2447 3.3013 4.6320
Te -1.0440 1.6441 5.7850
Te 3.1562 0.0000 1.0798
Te 1.2573 0.0000 3.3559
Te 7.8290 1.6441 1.0530
Te -1.0440 -1.6441 5.7850
Te 5.5277 0.0000 3.4821
Te 3.6288 0.0000 5.7582
Te 7.8290 -1.6441 1.0530
Te 4.5403 -3.3013 2.2060
Te 2.2447 -3.3013 4.6320
Ir 0.0153 2.3894 3.4190
Ir 0.0153 -2.3894 3.4190



Q: Which formula does entry 1 have?
A: NiTeIr2